# Li2TeP

A relaxed Li2TeP crystal (PBEsol, the Alexandria database).

Cell: 3.391 4.242 5.872 Å, 111.17 106.78 90.00°
Atoms (fractional coordinates):
1 Li 0.001 0.001 0.001
2 Li 0.798 0.298 0.597
3 Te 0.201 0.701 0.401
4 P 0.500 0.500 0.000

Calculated values
The distance to the lowest polymorph of the same formula comes out at 0.28 eV/f.u. As for the formation energy without anion corrections: -0.36 eV/atom.